# YZr2As

A relaxed structure of YZr2As (PBE, Alexandria via LeMat-Bulk).

Cell lengths 3.344, 3.344, 8.835 Å; angles 90.00, 90.00, 104.78 degrees
Fractional positions:
Y1 0.000 0.000 0.000
Zr1 0.500 0.500 0.300
Zr2 0.500 0.500 0.700
As1 0.000 0.000 0.500

Computed properties:
ΔE_f (eV per atom): -0.33
Total magnetic moment (μB per formula unit): 0.00
Mass density (Mg/m³): 6.020
Calculated total energy (eV per atom): -7.384